Density functional theory data (PBE) for a relaxed structure of DyFeNi4.

Cell lengths 7.0322, 3.7241, 6.4474 Å; angles 90.00, 90.00, 90.00 degrees
Closest atoms and distances in Å follow each position.
Space group Pmma (No. 51)
Symmetry-distinct sites (fractional):
1 Dy 0.2500 0.0000 0.1423 [2 per cell]  1 Fe 2.72, 8 Ni 2.82-2.90
2 Fe 0.2500 0.0000 0.7204 [2 per cell]  8 Ni 2.26-2.46
3 Ni 0.0000 0.0000 0.5000 [2 per cell]  2 Fe 2.26
4 Ni 0.0539 0.5000 0.7979 [4 per cell]  2 Fe 2.37, 1 Ni 2.52
5 Ni 0.2500 0.5000 0.4707 [2 per cell]  2 Fe 2.46, 8 Ni 2.52-2.75

Properties
Magnetic moment   4.198 μB/f.u.
Total energy   -73.70 eV for the cell shown
ΔH_f (0 K)   -0.7 eV per formula unit